Record 1
This record from Alexandria via LeMat-Bulk describes a relaxed structure of Tm3ScS6. The functional is PBE-GGA.

Its size of the total moment is 0.00 Bohr magnetons per cell.

The space group is R-3 (No. 148, hexagonal axes) and the conventional cell measures 11.1746, 11.1746 and 13.2802 Å, with angles of 90.00, 90.00 and 120.00 degrees. The distinct sites, in fractional coordinates, are Tm at (0.0513, 0.2714, 0.2008), Sc at (0.0000, 0.0000, 0.0000), Sc at (0.0000, 0.0000, 0.5000), S at (0.0202, 0.2068, 0.3975) and S at (0.0314, 0.1921, 0.8800).

---

Record 2
This record from Alexandria via LeMat-Bulk describes a relaxed structure of Tm4ScS7. The functional is PBE-GGA.

Its size of the total moment is 0.00 Bohr magnetons per cell.

The space group is Cm (No. 8) and the conventional cell measures 12.505, 3.726 and 11.386 Å, with angles of 90.00, 104.53 and 90.00 degrees. The distinct sites, in fractional coordinates, are Tm at (0.000, 0.000, 0.000), Tm at (0.087, 0.500, 0.378), Tm at (0.189, 0.000, 0.763), Tm at (0.388, 0.500, 0.571), Sc at (0.277, 0.500, 0.150), S at (0.048, 0.500, 0.624), S at (0.132, 0.500, 0.931), S at (0.153, 0.000, 0.219), S at (0.228, 0.000, 0.521), S at (0.349, 0.500, 0.788), S at (0.385, 0.000, 0.077) and S at (0.426, 0.500, 0.352).

---

Record 3
This record from Alexandria via LeMat-Bulk describes a relaxed structure of TmSc2S2. The functional is PBE-GGA.

Its size of the total moment is 1.15 Bohr magnetons per cell.

The space group is P2_1/c (No. 14) and the conventional cell measures 9.574, 7.068 and 6.499 Å, with angles of 90.00, 108.77 and 90.00 degrees. The distinct sites, in fractional coordinates, are Tm at (0.187, 0.105, 0.165), Sc at (0.160, 0.623, 0.155), Sc at (0.455, 0.743, 0.067), S at (0.008, 0.134, 0.746) and S at (0.354, 0.103, 0.590).

---

Record 4
This record from Alexandria via LeMat-Bulk describes a relaxed structure of Tm3ScS4. The functional is PBE-GGA.

Its size of the total moment is 0.00 Bohr magnetons per cell.

The space group is Pm-3m (No. 221) and the conventional cell measures 5.391, 5.391 and 5.391 Å, with angles of 90.00, 90.00 and 90.00 degrees. The distinct sites, in fractional coordinates, are Tm at (0.000, 0.000, 0.500), Sc at (0.500, 0.500, 0.500), S at (0.000, 0.000, 0.000) and S at (0.000, 0.500, 0.500).

---

Record 5
This record from Alexandria via LeMat-Bulk describes a relaxed structure of Tm5ScS6. The functional is PBE-GGA.

Its size of the total moment is 0.00 Bohr magnetons per cell.

The space group is C2/m (No. 12) and the conventional cell measures 6.614, 11.478 and 6.606 Å, with angles of 90.00, 109.63 and 90.00 degrees. The distinct sites, in fractional coordinates, are Tm at (0.000, 0.000, 0.000), Tm at (0.000, 0.166, 0.500), Tm at (0.000, 0.332, 0.000), Sc at (0.000, 0.500, 0.500), S at (0.245, 0.500, 0.252) and S at (0.246, 0.336, 0.746).

---

Record 6
This record from Alexandria via LeMat-Bulk describes a relaxed structure of TmSc3S6. The functional is PBE-GGA.

Its size of the total moment is 0.00 Bohr magnetons per cell.

The space group is P2_1/m (No. 11) and the conventional cell measures 10.610, 3.746 and 10.792 Å, with angles of 90.00, 109.50 and 90.00 degrees. The distinct sites, in fractional coordinates, are Tm at (0.047, 0.250, 0.196), Sc at (0.160, 0.250, 0.586), Sc at (0.317, 0.750, 0.000), Sc at (0.438, 0.250, 0.334), S at (0.081, 0.750, 0.406), S at (0.115, 0.250, 0.965), S at (0.198, 0.750, 0.750), S at (0.262, 0.750, 0.228), S at (0.394, 0.250, 0.560) and S at (0.475, 0.250, 0.113).

---

Record 7
This record from Alexandria via LeMat-Bulk describes a relaxed structure of TmSc5S6. The functional is PBE-GGA.

Its size of the total moment is 0.00 Bohr magnetons per cell.

The space group is C2/m (No. 12) and the conventional cell measures 6.440, 11.172 and 6.433 Å, with angles of 90.00, 109.57 and 90.00 degrees. The distinct sites, in fractional coordinates, are Tm at (0.000, 0.000, 0.000), Sc at (0.000, 0.164, 0.500), Sc at (0.000, 0.333, 0.000), Sc at (0.000, 0.500, 0.500), S at (0.245, 0.500, 0.252) and S at (0.246, 0.330, 0.746).

---

Record 8
This record from Alexandria via LeMat-Bulk describes a relaxed structure of Tm3ScS4. The functional is PBE-GGA.

Its size of the total moment is 0.00 Bohr magnetons per cell.

The space group is Cmmm (No. 65) and the conventional cell measures 7.662, 10.774 and 3.783 Å, with angles of 90.00, 90.00 and 90.00 degrees. The distinct sites, in fractional coordinates, are Tm at (0.000, 0.000, 0.000), Tm at (0.250, 0.250, 0.500), Sc at (0.000, 0.500, 0.000), S at (0.000, 0.253, 0.000) and S at (0.244, 0.500, 0.500).

---

Record 9
This record from Alexandria via LeMat-Bulk describes a relaxed structure of Tm5Sc3S8. The functional is PBE-GGA.

Its size of the total moment is 0.00 Bohr magnetons per cell.

The space group is R-3m (No. 166, hexagonal axes) and the conventional cell measures 7.5846, 7.5846 and 18.5481 Å, with angles of 90.00, 90.00 and 120.00 degrees. The distinct sites, in fractional coordinates, are Tm at (0.0000, 0.0000, 0.0000), Tm at (0.0000, 0.0000, 0.5000), Tm at (0.0000, 0.5000, 0.0000), Sc at (0.0000, 0.5000, 0.5000), S at (0.0000, 0.0000, 0.2467) and S at (0.0045, 0.5022, 0.7522).

---

Record 10
This record from Alexandria via LeMat-Bulk describes a relaxed structure of TmSc3S3. The functional is PBE-GGA.

Its size of the total moment is 0.00 Bohr magnetons per cell.

The space group is Cmcm (No. 63) and the conventional cell measures 10.496, 10.335 and 5.169 Å, with angles of 90.00, 90.00 and 90.00 degrees. The distinct sites, in fractional coordinates, are Tm at (0.000, 0.117, 0.250), Sc at (0.000, 0.376, 0.750), Sc at (0.242, 0.375, 0.250), S at (0.000, 0.375, 0.250) and S at (0.247, 0.374, 0.750).

---

Record 11
This record from Alexandria via LeMat-Bulk describes a relaxed structure of TmSc4S4. The functional is PBE-GGA.

Its size of the total moment is 0.00 Bohr magnetons per cell.

The space group is C2/m (No. 12) and the conventional cell measures 12.224, 3.700 and 8.941 Å, with angles of 90.00, 119.31 and 90.00 degrees. The distinct sites, in fractional coordinates, are Tm at (0.000, 0.000, 0.000), Sc at (0.100, 0.500, 0.398), Sc at (0.208, 0.000, 0.801), S at (0.103, 0.500, 0.892) and S at (0.202, 0.000, 0.309).

---

Record 12
This record from Alexandria via LeMat-Bulk describes a relaxed structure of Tm4ScS4. The functional is PBE-GGA.

Its size of the total moment is 0.00 Bohr magnetons per cell.

The space group is C2/m (No. 12) and the conventional cell measures 12.560, 3.773 and 9.221 Å, with angles of 90.00, 119.87 and 90.00 degrees. The distinct sites, in fractional coordinates, are Tm at (0.097, 0.000, 0.401), Tm at (0.197, 0.500, 0.793), Sc at (0.000, 0.500, 0.000), S at (0.100, 0.000, 0.908) and S at (0.195, 0.500, 0.298).

---

Values for V, A^3/atom, ordered as above
23.94 21.40 20.82 19.59 19.68 20.21 18.17 19.52 19.25 20.02 19.59 21.05
Values for formation energy (no corrections), eV per formula unit, ordered as above
-20.2 -24.4 -7.3 -15.2 -23.0 -19.3 -22.6 -15.3 -30.4 -11.2 -15.0 -15.2